No. 1
# La2TbLu

La2TbLu after structural relaxation (PBE, Alexandria via LeMat-Bulk).

Properties
- Formation energy: 0.027 eV/atom
- Offset from the most stable computed form: 0.003 eV/atom

Cell and atoms, written as CIF:
```
data_La2TbLu
_cell_length_a 3.720
_cell_length_b 3.720
_cell_length_c 9.779
_cell_angle_alpha 90.00
_cell_angle_beta 90.00
_cell_angle_gamma 90.00
_symmetry_space_group_name_H-M 'P 4/m m m'
_symmetry_Int_Tables_number 123
_symmetry_space_group_name_Hall '-P 4 2'
loop_
_atom_site_label
_atom_site_type_symbol
_atom_site_fract_x
_atom_site_fract_y
_atom_site_fract_z
La1 La 0.000 0.000 0.246
Tb1 Tb 0.500 0.500 0.500
Lu1 Lu 0.500 0.500 0.000
```



No. 2
# LaTbLuTh

LaTbLuTh after structural relaxation (PBE, Alexandria via LeMat-Bulk).

Properties
- Formation energy: 0.111 eV/atom

Cell and atoms, written as CIF:
```
data_LaTbLuTh
_cell_length_a 8.062
_cell_length_b 8.062
_cell_length_c 8.062
_cell_angle_alpha 90.00
_cell_angle_beta 90.00
_cell_angle_gamma 90.00
_symmetry_space_group_name_H-M 'F -4 3 m'
_symmetry_Int_Tables_number 216
_symmetry_space_group_name_Hall 'F -4 2 3'
loop_
_atom_site_label
_atom_site_type_symbol
_atom_site_fract_x
_atom_site_fract_y
_atom_site_fract_z
La1 La 0.000 0.000 0.000
Tb1 Tb 0.250 0.250 0.250
Lu1 Lu 0.250 0.250 0.750
Th1 Th 0.000 0.000 0.500
```



Among the records above, which one has the lowest formation energy?
La2TbLu



Among the records above, which one has the highest formation energy?
LaTbLuTh



Look up the formation energy of the first one.
0.027 eV/atom



Copy entry 1 word for word.
# La2TbLu

La2TbLu after structural relaxation (PBE, Alexandria via LeMat-Bulk).

Properties
- Formation energy: 0.027 eV/atom
- Offset from the most stable computed form: 0.003 eV/atom

Cell and atoms, written as CIF:
```
data_La2TbLu
_cell_length_a 3.720
_cell_length_b 3.720
_cell_length_c 9.779
_cell_angle_alpha 90.00
_cell_angle_beta 90.00
_cell_angle_gamma 90.00
_symmetry_space_group_name_H-M 'P 4/m m m'
_symmetry_Int_Tables_number 123
_symmetry_space_group_name_Hall '-P 4 2'
loop_
_atom_site_label
_atom_site_type_symbol
_atom_site_fract_x
_atom_site_fract_y
_atom_site_fract_z
La1 La 0.000 0.000 0.246
Tb1 Tb 0.500 0.500 0.500
Lu1 Lu 0.500 0.500 0.000
```